# PBE-GGA BaPu3Tl4O12, relaxed
# M_tot ... 12.00 Bohr magnetons per cell
# Raw total energy ... -309.9 eV/cell
data_BaPu3Tl4O12
_space_group_name_H-M_alt 'I m -3 m'
_space_group_IT_number 229
_space_group_name_Hall '-I 4 2 3'
_cell_length_a 8.894
_cell_length_b 8.894
_cell_length_c 8.894
_cell_angle_alpha 90.00
_cell_angle_beta 90.00
_cell_angle_gamma 90.00
loop_
_atom_site_label
_atom_site_fract_x
_atom_site_fract_y
_atom_site_fract_z
Ba1 0.000 0.000 0.000
Pu1 0.000 0.000 0.500
Tl1 0.250 0.250 0.250
O1 0.000 0.000 0.287
O2 0.000 0.250 0.500